P | VASP calculation (PBE) on Mn2BP2 after structural relaxation.

Cell: 3.2182 3.2182 5.9015 Å, 74.18 74.18 90.00°
With the nearest neighbours (Å) after each atom.
Element x y z (fractional)
Mn  0.3912  0.3912  0.2176  4 P 2.23, 1 Mn 2.37
Mn  0.6088  0.6088  0.7824  4 P 2.23, 1 Mn 2.37
P  0.7500  0.2500  0.5000  4 Mn 2.23, 4 P 2.28
P  0.2500  0.7500  0.5000  4 Mn 2.23, 4 P 2.28
B  0.0000  0.0000  0.0000  8 Mn 2.57

Spin magnetization in μB per cell: 0.001
Space group: I4/mmm, No. 139

=====

Q | VASP calculation (PBE) on Mn2BP2 after structural relaxation.

Cell: 5.6237 5.6237 3.3831 Å, 90.00 90.00 90.00°
With the nearest neighbours (Å) after each atom.
Element x y z (fractional)
B  0.5000  0.5000  0.0000  4 Mn 2.11
B  0.0000  0.0000  0.0000  4 Mn 2.11
P  0.3540  0.1460  0.5000  6 Mn 2.28-2.42, 1 P 2.32
P  0.8540  0.3540  0.5000  6 Mn 2.28-2.42, 1 P 2.32
P  0.1460  0.6460  0.5000  6 Mn 2.28-2.42, 1 P 2.32
P  0.6460  0.8540  0.5000  6 Mn 2.28-2.42, 1 P 2.32
Mn  0.1612  0.3388  0.0000  2 B 2.11, 2 P 2.28
Mn  0.8388  0.6612  0.0000  2 B 2.11, 2 P 2.28
Mn  0.6612  0.1612  0.0000  2 B 2.11, 2 P 2.28
Mn  0.3388  0.8388  0.0000  2 B 2.11, 2 P 2.28

Spin magnetization in μB per cell: 0.000
Space group: P4/mbm, No. 127

=====

Stability verdict: Q, ahead by 0.242 eV/atom

=====

P | VASP calculation (PBE) on MnBP2S after structural relaxation.

Cell: 4.1989 4.1989 4.9355 Å, 90.00 90.00 90.00°
With the nearest neighbours (Å) after each atom.
Element x y z (fractional)
Mn  0.0000  0.0000  0.0000  4 P 2.10
P  0.0000  0.5000  0.0000  2 Mn 2.10
P  0.5000  0.0000  0.0000  2 Mn 2.10
S  0.0000  0.0000  0.5000  2 Mn 2.47
B  0.5000  0.5000  0.5000  4 S 2.97, 8 P 3.24

Spin magnetization in μB per cell: 0.992
Space group: P4/mmm, No. 123

=====

Q | VASP calculation (PBE) on MnBP2S after structural relaxation.

Cell: 3.9548 3.9548 4.1722 Å, 90.00 90.00 90.00°
With the nearest neighbours (Å) after each atom.
Element x y z (fractional)
P  0.5000  0.0000  0.0000  2 B 1.98
P  0.0000  0.5000  0.0000  2 B 1.98
S  0.0000  0.0000  0.5000  2 B 2.09
Mn  0.5000  0.5000  0.5000  4 S 2.80, 8 P 2.87
B  0.0000  0.0000  0.0000  4 P 1.98, 2 S 2.09

Spin magnetization in μB per cell: 0.066
Space group: P4/mmm, No. 123

=====

Stability verdict: Q, ahead by 0.151 eV/atom

=====

P | VASP calculation (PBE) on PaMnB after structural relaxation.

Cell: 3.7904 3.6560 3.6560 Å, 120.00 90.00 90.00°
With the nearest neighbours (Å) after each atom.
Element x y z (fractional)
B  0.1667  0.0000  0.0000  3 Mn 2.11
Mn  0.1667  0.3333  0.6667  3 B 2.11
Pa  0.6667  0.6667  0.3333  6 Mn 2.84, 6 B 2.84

Spin magnetization in μB per cell: 0.583
Space group: P-6m2, No. 187

=====

Q | VASP calculation (PBE) on PaMnB after structural relaxation.

Cell: 3.9165 3.9165 7.6873 Å, 82.20 82.20 48.16°
With the nearest neighbours (Å) after each atom.
Element x y z (fractional)
Pa  0.7115  0.7115  0.3329  2 Mn 2.64, 3 B 2.68-2.94
Pa  0.2885  0.2885  0.6671  2 Mn 2.64, 3 B 2.68-2.94
B  0.4212  0.4212  0.1000  1 B 1.77
B  0.5788  0.5788  0.9000  1 B 1.77
Mn  0.1304  0.1304  0.0812  5 B 2.11-2.19
Mn  0.8696  0.8696  0.9188  5 B 2.11-2.19

Spin magnetization in μB per cell: 0.002
Space group: C2/m, No. 12

=====

R | VASP calculation (PBE) on PaMnB after structural relaxation.

Cell: 2.9248 2.9248 5.0974 Å, 106.67 106.67 90.00°
With the nearest neighbours (Å) after each atom.
Element x y z (fractional)
B  0.2892  0.2892  0.5783  4 Mn 2.17
Pa  0.9907  0.9907  0.9814  1 Mn 2.52, 5 B 2.78-2.79
Mn  0.7202  0.7202  0.4403  4 B 2.17

Spin magnetization in μB per cell: 0.000
Space group: I4mm, No. 107

=====

S | VASP calculation (PBE) on PaMnB after structural relaxation.

Cell: 3.6317 3.6317 8.3286 Å, 77.41 77.41 60.00°
With the nearest neighbours (Å) after each atom.
Element x y z (fractional)
B  0.0375  0.0375  0.8874  1 B 1.81
B  0.9625  0.9625  0.1126  1 B 1.81
Mn  0.6538  0.6538  0.0386  6 B 2.18-2.43, 3 Mn 2.19
Mn  0.3462  0.3462  0.9614  6 B 2.18-2.43, 3 Mn 2.19
Pa  0.7721  0.7721  0.6837  3 B 2.66, 1 Mn 2.86
Pa  0.2279  0.2279  0.3163  3 B 2.66, 1 Mn 2.86

Spin magnetization in μB per cell: 1.662
Space group: R-3m, No. 166

=====

Stability verdict: Q, ahead by 0.039 eV/atom